(1)
A PBEsol-optimized structure of SrSb3. Source: the Alexandria database, functional meta-GGA SCAN.

abc: 8.4835 8.4835 8.4835
angles: 29.11 29.11 29.11
Closest atoms and distances in Å follow each position.
Fractional coordinates of all 4 atoms:
Sr  0.0000  0.0000  0.0000  6 Sb 3.35
Sb  0.2399  0.2399  0.2399  3 Sb 3.04, 3 Sr 3.35
Sb  0.5000  0.5000  0.5000  6 Sb 3.04
Sb  0.7601  0.7601  0.7601  3 Sb 3.04, 3 Sr 3.35

As for the final energy: -33.851 eV per atom. The symmetry is No. 166. The calculation puts the uncorrected formation energy at -32.45 kJ/mol of atoms.



(2)
A PBEsol-optimized structure of Be3AlGa. Source: the Alexandria database, functional meta-GGA SCAN.

abc: 4.2120 4.2120 4.2120
angles: 90.00 90.00 90.00
Closest atoms and distances in Å follow each position.
Fractional coordinates of all 5 atoms:
Be  0.0000  0.0000  0.5000  2 Ga 2.11
Be  0.0000  0.5000  0.0000  2 Ga 2.11
Be  0.5000  0.0000  0.0000  2 Ga 2.11
Al  0.5000  0.5000  0.5000  12 Be 2.98
Ga  0.0000  0.0000  0.0000  6 Be 2.11

As for the formation energy: 856 meV/atom. As for the final energy: -6.576 eV per atom. The symmetry is No. 221.



Repeat the first record exactly.
A PBEsol-optimized structure of SrSb3. Source: the Alexandria database, functional meta-GGA SCAN.

abc: 8.4835 8.4835 8.4835
angles: 29.11 29.11 29.11
Closest atoms and distances in Å follow each position.
Fractional coordinates of all 4 atoms:
Sr  0.0000  0.0000  0.0000  6 Sb 3.35
Sb  0.2399  0.2399  0.2399  3 Sb 3.04, 3 Sr 3.35
Sb  0.5000  0.5000  0.5000  6 Sb 3.04
Sb  0.7601  0.7601  0.7601  3 Sb 3.04, 3 Sr 3.35

As for the final energy: -33.851 eV per atom. The symmetry is No. 166. The calculation puts the uncorrected formation energy at -32.45 kJ/mol of atoms.



Repeat the first record exactly.
A PBEsol-optimized structure of SrSb3. Source: the Alexandria database, functional meta-GGA SCAN.

abc: 8.4835 8.4835 8.4835
angles: 29.11 29.11 29.11
Closest atoms and distances in Å follow each position.
Fractional coordinates of all 4 atoms:
Sr  0.0000  0.0000  0.0000  6 Sb 3.35
Sb  0.2399  0.2399  0.2399  3 Sb 3.04, 3 Sr 3.35
Sb  0.5000  0.5000  0.5000  6 Sb 3.04
Sb  0.7601  0.7601  0.7601  3 Sb 3.04, 3 Sr 3.35

As for the final energy: -33.851 eV per atom. The symmetry is No. 166. The calculation puts the uncorrected formation energy at -32.45 kJ/mol of atoms.